No. 1
RbSr3Pd | GGA-PBE | relaxed

```
RbSr3Pd
1.0
4.345 -2.509 0.000
0.000 5.017 0.000
0.000 0.000 27.191
Sr Rb Pd
6 2 2
Cartesian
0.000 0.000 6.798
0.000 0.000 20.393
1.448 2.509 23.416
1.448 2.509 17.370
2.897 0.000 9.821
2.897 0.000 3.775
0.000 0.000 0.000
0.000 0.000 13.596
1.448 2.509 20.393
2.897 0.000 6.798
```

Calculated formation energy: -0.90 kcal/mol of atoms
Total moment: 0.00 μB/f.u.
Density: 2.55 g/cm³
Relative energy among the computed polymorphs: 211 meV/atom

No. 2
RbSr2Pd | GGA-PBE | relaxed

```
RbSr2Pd
1.0
-3.381 -4.843 -0.376
-3.532 -1.500 4.506
-5.870 0.524 -0.540
Sr Rb Pd
2 1 1
Cartesian
-3.196 -1.455 0.897
-9.588 -4.364 2.692
0.000 0.000 0.000
-6.392 -2.910 1.795
```

Calculated formation energy: 1.80 kcal/mol of atoms
Total moment: 0.00 μB/f.u.
Density: 4.16 g/cm³
Relative energy among the computed polymorphs: 332 meV/atom

No. 3
RbSr3Pd | GGA-PBE | relaxed

```
RbSr3Pd
1.0
0.000 8.299 8.299
8.299 0.000 8.299
8.299 8.299 0.000
Sr Rb Pd
12 4 4
Cartesian
5.326 8.299 8.299
9.476 12.448 12.448
12.448 12.448 9.476
15.421 12.448 12.448
12.448 15.421 12.448
8.299 11.271 8.299
12.448 9.476 12.448
12.448 12.448 15.421
8.299 5.326 8.299
11.271 8.299 8.299
8.299 8.299 5.326
8.299 8.299 11.271
2.075 2.075 2.075
6.224 2.075 6.224
2.075 6.224 6.224
6.224 6.224 2.075
10.373 10.373 10.373
6.224 10.373 6.224
10.373 6.224 6.224
6.224 6.224 10.373
```

Calculated formation energy: -3.96 kcal/mol of atoms
Total moment: 0.00 μB/f.u.
Density: 2.64 g/cm³
Relative energy among the computed polymorphs: 78 meV/atom

No. 4
RbSr3Pd | GGA-PBE | relaxed

```
RbSr3Pd
1.0
-9.686 7.708 2.564
-2.843 -3.008 -1.695
-1.046 -3.601 8.151
Sr Pd Rb
6 2 2
Cartesian
-7.094 0.448 4.874
-3.268 -0.964 6.866
-7.819 4.734 4.384
-8.310 3.079 8.150
-11.182 6.060 1.769
-11.737 4.114 6.154
-9.359 2.318 5.357
-1.002 -2.833 6.383
-6.527 2.265 0.701
-2.787 0.819 2.889
```

Calculated formation energy: -5.46 kcal/mol of atoms
Total moment: 0.00 μB/f.u.
Density: 2.98 g/cm³
Relative energy among the computed polymorphs: 13 meV/atom

No. 5
RbSr3Pd | GGA-PBE | relaxed

```
RbSr3Pd
1.0
3.966 -8.066 0.000
3.966 8.066 0.000
0.000 0.000 7.293
Sr Rb Pd
6 2 2
Cartesian
1.981 3.190 1.823
5.952 3.190 1.823
1.981 -3.190 5.470
5.952 -3.190 5.470
0.000 0.000 0.000
0.000 0.000 3.647
3.966 -1.134 1.823
3.966 1.134 5.470
3.966 5.468 1.823
3.966 -5.468 5.470
```

Calculated formation energy: -1.13 kcal/mol of atoms
Total moment: 0.00 μB/f.u.
Density: 3.24 g/cm³
Relative energy among the computed polymorphs: 201 meV/atom

No. 6
RbSr3Pd | GGA-PBE | relaxed

```
RbSr3Pd
1.0
27.135 0.000 -3.578
0.000 7.343 0.000
-9.849 0.000 6.334
Sr Rb Pd
12 4 4
Cartesian
-0.435 1.798 2.701
17.722 5.545 0.055
-0.770 5.470 5.010
18.057 1.874 -2.254
6.702 1.834 -0.322
10.584 5.510 3.079
1.941 5.506 1.700
15.346 1.838 1.056
13.399 5.637 -0.660
3.888 1.707 3.416
22.380 1.965 -1.540
-5.093 5.379 4.296
6.302 5.505 2.245
10.985 1.838 0.511
-7.507 1.833 5.467
24.794 5.510 -2.710
-2.721 3.559 3.668
20.008 3.785 -0.912
1.516 7.231 4.044
15.771 0.113 -1.287
```

Calculated formation energy: -4.09 kcal/mol of atoms
Total moment: 0.00 μB/f.u.
Density: 3.01 g/cm³
Relative energy among the computed polymorphs: 73 meV/atom